Entry 1:
# Ba2CdF

Crystalline Ba2CdF at its relaxed geometry (PBE-GGA, Alexandria).

Size of the total moment = 0.000 μB per formula unit
Offset from the most stable computed form = 0.0 kJ per mole of atoms
Symmetry = I-42d, No. 122
E_tot = -3.089 eV/atom
N(E_F) = 1.056 states/eV/atom
Formation energy without anion corrections = -1.4314 eV/atom

Cell: 7.3548 7.3548 7.3548 Å, 113.80 113.80 101.12°
With the nearest neighbours (Å) after each atom.
Fractional coordinates of all 8 atoms:
Ba 0.0406 0.6250 0.9156  2 F 2.68
Ba 0.3750 0.2906 0.4156  2 F 2.68
Ba 0.7094 0.1250 0.0844  2 F 2.68
Ba 0.8750 0.9594 0.5844  2 F 2.68
Cd 0.2500 0.7500 0.5000  4 Ba 3.55
Cd 0.5000 0.5000 0.0000  4 Ba 3.55
F 0.0000 0.0000 0.0000  4 Ba 2.68
F 0.7500 0.2500 0.5000  4 Ba 2.68



Entry 2:
# BaCd2F6

Crystalline BaCd2F6 at its relaxed geometry (PBE-GGA, Alexandria).

Size of the total moment = 0.000 μB per formula unit
Symmetry = P-31m, No. 162
E_tot = -4.409 eV/atom
N(E_F) = 0.000 states/eV/atom
Formation energy without anion corrections = -2.7445 eV/atom

Cell: 5.9691 5.9691 5.5616 Å, 90.00 90.00 120.00°
With the nearest neighbours (Å) after each atom.
Fractional coordinates of all 9 atoms:
Ba 0.0000 0.0000 0.0000  6 F 2.65
Cd 0.3333 0.6667 0.5000  6 F 2.27
Cd 0.6667 0.3333 0.5000  6 F 2.27
F 0.0000 0.3582 0.7180  2 Cd 2.27
F 0.0000 0.6418 0.2820  2 Cd 2.27
F 0.3582 0.0000 0.7180  2 Cd 2.27
F 0.3582 0.3582 0.2820  2 Cd 2.27
F 0.6418 0.0000 0.2820  2 Cd 2.27
F 0.6418 0.6418 0.7180  2 Cd 2.27



Entry 3:
# BaCdF2

Crystalline BaCdF2 at its relaxed geometry (PBE-GGA, Alexandria).

Size of the total moment = 0.000 μB per formula unit
Offset from the most stable computed form = 11.5 kJ per mole of atoms
Symmetry = I-42d, No. 122
E_tot = -4.146 eV/atom
N(E_F) = 0.000 states/eV/atom
Formation energy without anion corrections = -2.5014 eV/atom

Cell: 8.1840 8.1840 8.1840 Å, 130.74 130.74 72.23°
With the nearest neighbours (Å) after each atom.
Fractional coordinates of all 8 atoms:
Ba 0.0000 0.0000 0.0000  4 F 2.48
Ba 0.7500 0.2500 0.5000  4 F 2.48
Cd 0.2500 0.7500 0.5000  4 F 3.59
Cd 0.5000 0.5000 0.0000  4 F 3.59
F 0.3750 0.2303 0.3553  2 Ba 2.48
F 0.7697 0.1250 0.1447  2 Ba 2.48
F 0.8750 0.0197 0.6447  2 Ba 2.48
F 0.9803 0.6250 0.8553  2 Ba 2.48



Entry 4:
# Ba4CdF10

Crystalline Ba4CdF10 at its relaxed geometry (PBE-GGA, Alexandria).

Size of the total moment = 0.000 μB per formula unit
Symmetry = I4/m, No. 87
E_tot = -5.330 eV/atom
N(E_F) = 0.000 states/eV/atom
Formation energy without anion corrections = -3.5089 eV/atom

Cell: 7.4844 7.4844 7.4844 Å, 99.66 99.66 131.64°
With the nearest neighbours (Å) after each atom.
Fractional coordinates of all 15 atoms:
Ba 0.1016 0.2958 0.3974  8 F 2.68-2.72
Ba 0.2958 0.8984 0.1942  8 F 2.68-2.72
Ba 0.7042 0.1016 0.8058  8 F 2.68-2.72
Ba 0.8984 0.7042 0.6026  8 F 2.68-2.72
Cd 0.5000 0.5000 0.0000  8 F 2.47
F 0.0812 0.1742 0.7192  1 Cd 2.47, 3 Ba 2.68-2.72
F 0.1742 0.4550 0.0930  1 Cd 2.47, 3 Ba 2.68-2.72
F 0.2500 0.7500 0.5000  4 Ba 2.68
F 0.3620 0.0812 0.9070  1 Cd 2.47, 3 Ba 2.68-2.72
F 0.4550 0.3620 0.2808  1 Cd 2.47, 3 Ba 2.68-2.72
F 0.5450 0.6380 0.7192  1 Cd 2.47, 3 Ba 2.68-2.72
F 0.6380 0.9188 0.0930  1 Cd 2.47, 3 Ba 2.68-2.72
F 0.7500 0.2500 0.5000  4 Ba 2.68
F 0.8258 0.5450 0.9070  1 Cd 2.47, 3 Ba 2.68-2.72
F 0.9188 0.8258 0.2808  1 Cd 2.47, 3 Ba 2.68-2.72



Entry 5:
# Ba2CdF6

Crystalline Ba2CdF6 at its relaxed geometry (PBE-GGA, Alexandria).

Size of the total moment = 0.141 μB per formula unit
Symmetry = Immm, No. 71
E_tot = -5.049 eV/atom
N(E_F) = 0.000 states/eV/atom
Formation energy without anion corrections = -3.2730 eV/atom

Cell: 7.3069 7.3069 7.3069 Å, 145.77 131.24 60.92°
With the nearest neighbours (Å) after each atom.
Fractional coordinates of all 9 atoms:
Ba 0.1632 0.1632 0.0000  8 F 2.66-2.72
Ba 0.8368 0.8368 0.0000  8 F 2.66-2.72
Cd 0.5000 0.5000 0.0000  8 F 2.39-2.53
F 0.1123 0.3472 0.7651  1 Cd 2.39
F 0.2789 0.0000 0.2789  2 Cd 2.53, 2 Ba 2.66, 1 F 2.67
F 0.4178 0.6528 0.7651  1 Cd 2.39
F 0.5822 0.3472 0.2349  1 Cd 2.39
F 0.7211 0.0000 0.7211  2 Cd 2.53, 2 Ba 2.66, 1 F 2.67
F 0.8877 0.6528 0.2349  1 Cd 2.39



Entry 6:
# Ba2CdF2

Crystalline Ba2CdF2 at its relaxed geometry (PBE-GGA, Alexandria).

Size of the total moment = 0.000 μB per formula unit
Offset from the most stable computed form = 8.8 kJ per mole of atoms
Symmetry = P4/mbm, No. 127
E_tot = -3.687 eV/atom
N(E_F) = 0.731 states/eV/atom
Formation energy without anion corrections = -1.9867 eV/atom

Cell: 8.3126 8.3126 3.6093 Å, 90.00 90.00 90.00°
With the nearest neighbours (Å) after each atom.
Fractional coordinates of all 10 atoms:
Ba 0.1722 0.3278 0.0000  6 F 3.04-3.06
Ba 0.3278 0.8278 0.0000  6 F 3.04-3.06
Ba 0.6722 0.1722 0.0000  6 F 3.04-3.06
Ba 0.8278 0.6722 0.0000  6 F 3.04-3.06
Cd 0.0000 0.0000 0.5000  4 F 3.33, 8 Ba 3.57, 2 Cd 3.61
Cd 0.5000 0.5000 0.5000  4 F 3.33, 8 Ba 3.57, 2 Cd 3.61
F 0.1172 0.6172 0.5000  1 F 2.76, 6 Ba 3.04-3.06
F 0.3828 0.1172 0.5000  1 F 2.76, 6 Ba 3.04-3.06
F 0.6172 0.8828 0.5000  1 F 2.76, 6 Ba 3.04-3.06
F 0.8828 0.3828 0.5000  1 F 2.76, 6 Ba 3.04-3.06



Entry 7:
# Ba2CdF6

Crystalline Ba2CdF6 at its relaxed geometry (PBE-GGA, Alexandria).

Size of the total moment = 0.000 μB per formula unit
Symmetry = P2_1/c, No. 14
E_tot = -5.024 eV/atom
N(E_F) = 0.000 states/eV/atom
Formation energy without anion corrections = -3.2480 eV/atom

Cell: 5.8950 7.1777 9.6680 Å, 90.00 121.49 90.00°
With the nearest neighbours (Å) after each atom.
Fractional coordinates of all 18 atoms:
Ba 0.2181 0.1010 0.2617  8 F 2.66-2.95
Ba 0.2181 0.3990 0.7617  8 F 2.66-2.95
Ba 0.7819 0.6010 0.2383  8 F 2.66-2.95
Ba 0.7819 0.8990 0.7383  8 F 2.66-2.95
Cd 0.5000 0.0000 0.0000  6 F 2.21-2.29
Cd 0.5000 0.5000 0.5000  6 F 2.21-2.29
F 0.1256 0.1475 0.9460  1 Cd 2.25
F 0.1256 0.3525 0.4460  1 Cd 2.25
F 0.3008 0.7126 0.9344  1 Cd 2.29
F 0.3008 0.7874 0.4344  1 Cd 2.29
F 0.3808 0.0565 0.7463  1 Cd 2.21
F 0.3808 0.4435 0.2463  1 Cd 2.21
F 0.6192 0.5565 0.7537  1 Cd 2.21
F 0.6192 0.9435 0.2537  1 Cd 2.21
F 0.6992 0.2126 0.5656  1 Cd 2.29
F 0.6992 0.2874 0.0656  1 Cd 2.29
F 0.8744 0.6475 0.5540  1 Cd 2.25
F 0.8744 0.8525 0.0540  1 Cd 2.25



Entry 8:
# Ba2CdF2

Crystalline Ba2CdF2 at its relaxed geometry (PBE-GGA, Alexandria).

Size of the total moment = 0.000 μB per formula unit
Offset from the most stable computed form = 0.0 kJ per mole of atoms
Symmetry = I4/mmm, No. 139
E_tot = -3.779 eV/atom
N(E_F) = 0.428 states/eV/atom
Formation energy without anion corrections = -2.0783 eV/atom

Cell: 6.3845 6.3845 6.3845 Å, 128.90 128.90 75.17°
With the nearest neighbours (Å) after each atom.
Fractional coordinates of all 5 atoms:
Ba 0.2500 0.7500 0.5000  4 F 2.77
Ba 0.7500 0.2500 0.5000  4 F 2.77
Cd 0.0000 0.0000 0.0000  2 F 2.79
F 0.2754 0.2754 0.0000  4 Ba 2.77, 1 Cd 2.79
F 0.7246 0.7246 0.0000  4 Ba 2.77, 1 Cd 2.79



The highest E_tot belongs to which entry?
Ba2CdF